No. 1
VASP calculation (PBE) on Na4Cd3Pb2 after structural relaxation.

a = 5.957 Å, b = 5.957 Å, c = 9.886 Å
α = 113.15°, β = 113.15°, γ = 48.95°
Positions (direct):
Na 0.021 0.021 0.341
Na 0.341 0.341 0.117
Na 0.659 0.659 0.883
Na 0.979 0.979 0.659
Cd 0.000 0.000 0.000
Cd 0.345 0.345 0.451
Cd 0.655 0.655 0.549
Pb 0.316 0.316 0.765
Pb 0.684 0.684 0.235

## Properties
**ΔE_f**: -1.07 eV/f.u.
**Symmetry**: C2/m


No. 2
VASP calculation (PBE) on Ho5Ge2Bi2 after structural relaxation.

a = 8.634 Å, b = 8.634 Å, c = 7.983 Å
α = 90.00°, β = 90.00°, γ = 54.95°
Positions (direct):
Ho 0.000 0.000 0.000
Ho 0.038 0.716 0.661
Ho 0.216 0.538 0.161
Ho 0.284 0.962 0.661
Ho 0.462 0.784 0.161
Ho 0.500 0.500 0.500
Ho 0.538 0.216 0.839
Ho 0.716 0.038 0.339
Ho 0.784 0.462 0.839
Ho 0.962 0.284 0.339
Ge 0.143 0.857 0.359
Ge 0.357 0.643 0.859
Ge 0.643 0.357 0.141
Ge 0.857 0.143 0.641
Bi 0.206 0.206 0.000
Bi 0.294 0.294 0.500
Bi 0.706 0.706 0.500
Bi 0.794 0.794 0.000

## Properties
**ΔE_f**: -7.60 eV/f.u.
**Symmetry**: Cmce


No. 3
VASP calculation (PBE) on TlFe2RhSe after structural relaxation.

a = 4.606 Å, b = 4.606 Å, c = 4.818 Å
α = 90.00°, β = 90.00°, γ = 90.00°
Positions (direct):
Tl 0.000 0.000 0.000
Fe 0.000 0.500 0.500
Fe 0.500 0.000 0.500
Rh 0.500 0.500 0.500
Se 0.500 0.500 0.000

## Properties
**Energy relative to the elements, uncorrected**: 114.8 kJ/mol of atoms
**Symmetry**: P4/mmm